Material: Tb5TeIr2
Method: DFT, GGA-PBE
State: optimized geometry

Calculated values
Space-group type: No. 140
Theoretical density, g/cm³: 10.464
N(E_F), states/eV per atom: 0.872
Formation energy without anion corrections, eV/f.u.: -6.84
Volume, Å³/f.u.: 207
Uncorrected energy, eV per atom: -6.3571

abc: 8.741 8.741 8.741
angles: 126.78 126.78 78.61
Element x y z (fractional)
Tb1 0.000 0.000 0.000
Tb2 0.022 0.522 0.811
Tb3 0.211 0.022 0.500
Tb4 0.289 0.789 0.811
Tb5 0.478 0.289 0.500
Tb6 0.500 0.500 0.000
Tb7 0.522 0.711 0.500
Tb8 0.711 0.211 0.189
Tb9 0.789 0.978 0.500
Tb10 0.978 0.478 0.189
Te1 0.250 0.250 0.000
Te2 0.750 0.750 0.000
Ir1 0.141 0.359 0.500
Ir2 0.359 0.859 0.218
Ir3 0.641 0.141 0.782
Ir4 0.859 0.641 0.500